# LiFePO4 (PBE with a Hubbard U, relaxed)
data_LiFePO4
_chemical_formula_sum 'Li8 Fe8 P8 O32'
_cell_length_a 5.676
_cell_length_b 11.359
_cell_length_c 9.354
_cell_angle_alpha 90.00
_cell_angle_beta 90.00
_cell_angle_gamma 90.00
_space_group_name_H-M_alt 'F d d 2'
_space_group_IT_number 43
_space_group_name_Hall 'F 2 -2d'
loop_
_atom_site_label
_atom_site_type_symbol
_atom_site_fract_x
_atom_site_fract_y
_atom_site_fract_z
Li1 Li 0.000 0.000 0.000
Fe1 Fe 0.000 0.000 0.626
P1 P 0.000 0.000 0.304
O1 O 0.083 0.322 0.455
O2 O 0.104 0.172 0.659
# Final energy: -6.7778 eV/atom
# Fermi-level density of states: 0.00 states/eV per atom
# Distance to the lowest polymorph of the same formula: 0.384 eV/f.u.